VASP calculation (GGA-PBE) on an optimized crystal structure of Ho6Al2Tl.

```
Ho6Al2Tl
1.0
-4.819 4.893 5.306
4.819 -4.893 5.306
4.819 4.893 -5.306
Ho Al Tl
12 4 2
direct
0.029 0.821 0.208
0.244 0.541 0.297
0.244 0.947 0.703
0.275 0.316 0.591
0.275 0.684 0.960
0.387 0.179 0.208
0.613 0.821 0.792
0.725 0.316 0.040
0.725 0.684 0.409
0.756 0.053 0.297
0.756 0.459 0.703
0.971 0.179 0.792
0.000 0.142 0.142
0.000 0.858 0.858
0.378 0.378 0.000
0.622 0.622 0.000
0.000 0.500 0.500
0.500 0.000 0.500
```

size of the total moment: 0.00 μB/atom
theoretical density: 8.3 g cm⁻³
DFT formation energy: -0.2705 eV/atom